YZr2Tc at its PBEsol-relaxed geometry. Source: the Alexandria database, functional meta-GGA SCAN.

abc: 3.370 5.114 9.932
angles: 90.00 90.00 90.00
Space group Immm (No. 71)
Asymmetric unit:
Y: 0.000 0.000 0.000
Zr: 0.000 0.500 0.208
Tc: 0.000 0.000 0.500

Output
Its magnetization is 0.000 μB per atom. Its formation energy is -0.17 eV per atom. The value obtained for the density of states at the Fermi level is 5.714 states/eV per cell.